1.
La2YSn2 | PBEsol | optimized geometry

Values from the calculation:
The value obtained for the calculated volume is 30.6 A^3/atom. The calculation puts the density of states at the Fermi level at 1.061 states/eV per atom. As for the space group: No. 127. The value obtained for the formation energy is -774 meV per atom. For the mass density, the calculation gives 6.57 g/cm³.

abc: 8.107 8.107 4.649
angles: 90.00 90.00 90.00
Fractional coordinates of all 10 atoms:
La: 0.172 0.328 0.000
La: 0.328 0.828 0.000
La: 0.672 0.172 0.000
La: 0.828 0.672 0.000
Y: 0.000 0.000 0.500
Y: 0.500 0.500 0.500
Sn: 0.129 0.629 0.500
Sn: 0.371 0.129 0.500
Sn: 0.629 0.871 0.500
Sn: 0.871 0.371 0.500

=====

2.
La2Zn2Sn | PBEsol | optimized geometry

Values from the calculation:
The value obtained for the calculated volume is 24.5 A^3/atom. The calculation puts the density of states at the Fermi level at 0.671 states/eV per atom. As for the space group: No. 127. The value obtained for the formation energy is -503 meV per atom. For the mass density, the calculation gives 7.15 g/cm³.

abc: 7.233 7.233 4.683
angles: 90.00 90.00 90.00
Fractional coordinates of all 10 atoms:
La: 0.176 0.324 0.000
La: 0.324 0.824 0.000
La: 0.676 0.176 0.000
La: 0.824 0.676 0.000
Zn: 0.122 0.622 0.500
Zn: 0.378 0.122 0.500
Zn: 0.622 0.878 0.500
Zn: 0.878 0.378 0.500
Sn: 0.000 0.000 0.500
Sn: 0.500 0.500 0.500

=====

3.
La2Zn5Sn | PBEsol | optimized geometry

Values from the calculation:
The value obtained for the calculated volume is 20.8 A^3/atom. The calculation puts the density of states at the Fermi level at 0.492 states/eV per atom. As for the space group: No. 63. The value obtained for the formation energy is -470 meV per atom. For the mass density, the calculation gives 7.22 g/cm³.

abc: 8.539 8.539 9.003
angles: 90.00 90.00 149.55
Fractional coordinates of all 16 atoms:
La: 0.000 0.000 0.000
La: 0.000 0.000 0.500
La: 0.208 0.792 0.750
La: 0.792 0.208 0.250
Zn: 0.185 0.815 0.109
Zn: 0.185 0.815 0.391
Zn: 0.343 0.657 0.014
Zn: 0.343 0.657 0.486
Zn: 0.397 0.603 0.750
Zn: 0.603 0.397 0.250
Zn: 0.657 0.343 0.514
Zn: 0.657 0.343 0.986
Zn: 0.815 0.185 0.609
Zn: 0.815 0.185 0.891
Sn: 0.442 0.558 0.250
Sn: 0.558 0.442 0.750

=====

Which value of formation energy does entry 3 give? -470 meV per atom

=====

What did the first record say?
La2YSn2 | PBEsol | optimized geometry

Values from the calculation:
The value obtained for the calculated volume is 30.6 A^3/atom. The calculation puts the density of states at the Fermi level at 1.061 states/eV per atom. As for the space group: No. 127. The value obtained for the formation energy is -774 meV per atom. For the mass density, the calculation gives 6.57 g/cm³.

abc: 8.107 8.107 4.649
angles: 90.00 90.00 90.00
Fractional coordinates of all 10 atoms:
La: 0.172 0.328 0.000
La: 0.328 0.828 0.000
La: 0.672 0.172 0.000
La: 0.828 0.672 0.000
Y: 0.000 0.000 0.500
Y: 0.500 0.500 0.500
Sn: 0.129 0.629 0.500
Sn: 0.371 0.129 0.500
Sn: 0.629 0.871 0.500
Sn: 0.871 0.371 0.500

=====

The lowest mass density belongs to which entry? La2YSn2